## Na2LiNiF6 (PBE+U)

Data for a relaxed Na2LiNiF6 crystal.

a b c (Å): 5.4684 5.4684 5.4684
angles (deg): 60.00 60.00 60.00
Each line ends with the local moment (μB).
Sites, in units of the cell vectors:
Na: 0.2500 0.2500 0.2500  0.00
Na: 0.7500 0.7500 0.7500  0.00
Li: 0.5000 0.5000 0.5000  0.01
Ni: 0.0000 0.0000 0.0000  1.32
F: 0.2448 0.2448 0.7552  -0.05
F: 0.2448 0.7552 0.7552  -0.05
F: 0.7552 0.7552 0.2448  -0.05
F: 0.2448 0.7552 0.2448  -0.05
F: 0.7552 0.2448 0.7552  -0.05
F: 0.7552 0.2448 0.2448  -0.05

Summary:
- E above lowest polymorph: 70 meV/atom
- Fermi-level density of states: 3.67 states/eV/f.u.